# Fe5NiO8

An optimized crystal structure of Fe5NiO8 (GGA+U, the Alexandria database).

Properties
* DFT total energy: -0.2309 Ha/atom
* density of states at the Fermi level: 14.45 states/eV/cell
* crystal system: trigonal

a = 6.0212 Å, b = 6.0212 Å, c = 14.7090 Å
α = 90.00°, β = 90.00°, γ = 120.00°
Last column: nearest neighbours and their distance in Å.
Space group R-3m (No. 166, hexagonal axes)
Asymmetric unit:
1 Fe 0.0000 0.0000 0.1214 [6 per cell]  4 O 1.90-1.93
2 Fe 0.0000 0.5000 0.0000 [9 per cell]  6 O 2.06-2.12
3 Ni 0.0000 0.0000 0.5000 [3 per cell]  6 O 2.10
4 O 0.0000 0.0000 0.2507 [6 per cell]  4 Fe 1.90-2.12
5 O 0.0166 0.5083 0.2543 [18 per cell]  3 Fe 1.93-2.06, 1 Ni 2.10